1.
# Ac9Ir4Pt2

A relaxed structure of Ac9Ir4Pt2 (PBE-GGA, Alexandria via LeMat-Bulk).

Cell and atoms, written as POSCAR:
```
Ac9Ir4Pt2
1.0
7.5520 0.0010 0.0161
3.7753 6.5403 0.0417
-0.0450 -0.1078 20.9509
Ir Ac Pt
8 18 4
direct
0.3334 0.3333 0.9933 Ir
0.3331 0.3335 0.1734 Ir
0.6667 0.6666 0.5067 Ir
0.6669 0.6665 0.8266 Ir
0.6666 0.6667 0.0067 Ir
0.6664 0.6668 0.3266 Ir
0.3333 0.3334 0.4933 Ir
0.3336 0.3332 0.6734 Ir
0.6611 0.3529 0.9178 Ac
0.3532 0.9859 0.9177 Ac
0.0141 0.6468 0.5823 Ac
0.9861 0.6609 0.9178 Ac
0.6609 0.9860 0.4178 Ac
0.3391 0.0140 0.5822 Ac
0.6713 0.3286 0.2500 Ac
0.3281 0.0002 0.2500 Ac
0.9997 0.6718 0.2500 Ac
0.6468 0.0141 0.0823 Ac
0.6719 0.9998 0.7500 Ac
0.9859 0.3532 0.4177 Ac
0.6471 0.3389 0.5822 Ac
0.0003 0.3282 0.7500 Ac
0.3529 0.6611 0.4178 Ac
0.3287 0.6714 0.7500 Ac
0.3389 0.6471 0.0822 Ac
0.0139 0.3391 0.0822 Ac
0.0003 0.9998 0.6607 Pt
0.9997 0.0002 0.3393 Pt
0.9998 0.0002 0.1607 Pt
0.0002 0.9998 0.8393 Pt
```

## Properties
crystal system: trigonal
magnetization: 0.00 μB per cell
symmetry: P-3c1 (165)
calculated formation energy: -737 meV per atom



2.
# Ac6IrPt4

A relaxed structure of Ac6IrPt4 (PBE-GGA, Alexandria via LeMat-Bulk).

Cell and atoms, written as POSCAR:
```
Ac6IrPt4
1.0
-3.8521 0.1270 -1.9190
4.9006 -2.5416 -5.1754
-3.9257 -20.8099 6.5024
Pt Ac Ir
8 12 2
direct
0.4084 0.8169 0.1300 Pt
0.8614 0.7228 0.5420 Pt
0.5916 0.1831 0.8700 Pt
0.1386 0.2772 0.4580 Pt
0.4084 0.8169 0.3700 Pt
0.8614 0.7228 0.9580 Pt
0.5916 0.1831 0.6300 Pt
0.1386 0.2772 0.0420 Pt
0.0510 0.1019 0.1651 Ac
0.2260 0.4521 0.5864 Ac
0.2997 0.5994 0.2500 Ac
0.9490 0.8981 0.8349 Ac
0.7740 0.5479 0.0864 Ac
0.0510 0.1019 0.3349 Ac
0.7003 0.4006 0.7500 Ac
0.9490 0.8981 0.6651 Ac
0.2260 0.4521 0.9136 Ac
0.5000 0.0000 0.5000 Ac
0.7740 0.5479 0.4136 Ac
0.5000 0.0000 0.0000 Ac
0.6539 0.3079 0.2500 Ir
0.3461 0.6921 0.7500 Ir
```

## Properties
crystal system: orthorhombic
magnetization: 0.00 μB per cell
symmetry: Cmcm (63)
calculated formation energy: -983 meV per atom



3.
# AcIrPt

A relaxed structure of AcIrPt (PBE-GGA, Alexandria via LeMat-Bulk).

Cell and atoms, written as POSCAR:
```
AcIrPt
1.0
-0.4801 4.0496 1.7330
2.3065 0.2504 5.7183
5.1301 3.3489 -0.7399
Ir Ac Pt
2 2 2
direct
0.2500 0.4248 0.5752 Ir
0.7500 0.5752 0.4248 Ir
0.0000 0.0000 0.5000 Ac
0.5000 0.5000 0.0000 Ac
0.2500 0.0899 0.9101 Pt
0.7500 0.9101 0.0899 Pt
```

## Properties
crystal system: orthorhombic
magnetization: 0.00 μB per cell
symmetry: Imma (74)
offset from the most stable computed form: 0.000 eV/atom
calculated formation energy: -840 meV per atom



4.
# AcIrPt

A relaxed structure of AcIrPt (PBE-GGA, Alexandria via LeMat-Bulk).

Cell and atoms, written as POSCAR:
```
AcIrPt
1.0
-0.6027 -1.0529 -4.0849
2.1448 -3.8296 0.6706
-4.3952 0.2164 0.5927
Ac Pt Ir
1 1 1
direct
0.6667 0.6667 0.3333 Ac
0.1667 0.0000 0.0000 Pt
0.1666 0.3333 0.6667 Ir
```

## Properties
crystal system: hexagonal
magnetization: 0.00 μB per cell
symmetry: P-6m2 (187)
offset from the most stable computed form: 0.043 eV/atom
calculated formation energy: -797 meV per atom